1.
Here is crystalline CdNi2BiRu at its relaxed geometry from Alexandria. Energies are from PBE.

Summary:
As for the symmetry: No. 123. The total energy is -3.824 eV/atom.

Cell: 4.646 4.991 4.646 Å, 90.00 90.00 90.00°
Fractional coordinates of all 5 atoms:
Ru 0.000 0.500 0.000
Ni 0.000 0.000 0.500
Ni 0.500 0.000 0.000
Bi 0.500 0.500 0.500
Cd 0.000 0.000 0.000

=====

2.
Here is crystalline CaPuAs2O8 at its relaxed geometry from Alexandria. Energies are from PBE.

Summary:
For the uncorrected formation energy, the calculation gives -2.04 eV per atom. As for the symmetry: No. 119. The total energy is -7.483 eV/atom.

Cell: 6.028 6.028 6.028 Å, 106.41 106.41 115.79°
Fractional coordinates of all 12 atoms:
Ca 0.000 0.000 0.000
Pu 0.250 0.750 0.500
As 0.750 0.250 0.500
As 0.500 0.500 0.000
O 0.393 0.071 0.322
O 0.331 0.516 0.186
O 0.331 0.145 0.814
O 0.748 0.071 0.678
O 0.855 0.669 0.186
O 0.929 0.252 0.322
O 0.929 0.607 0.678
O 0.484 0.669 0.814

=====

3.
Here is crystalline Ac3Nd4Sm2 at its relaxed geometry from Alexandria. Energies are from PBE.

Summary:
As for the symmetry: No. 2. The total energy is -4.502 eV/atom.

Cell: 6.522 6.522 13.593 Å, 118.30 104.24 119.88°
Fractional coordinates of all 9 atoms:
Ac 0.550 0.104 0.666
Ac 0.000 0.000 0.000
Ac 0.450 0.896 0.334
Nd 0.660 0.331 0.000
Nd 0.340 0.669 0.000
Nd 0.890 0.780 0.666
Nd 0.110 0.220 0.334
Sm 0.781 0.559 0.334
Sm 0.219 0.441 0.666